! AgPt | Alexandria via LeMat-Bulk | PBEsol | relaxed; values from VASP
&SYSTEM
  ibrav = 0, nat = 4, ntyp = 2
/
ATOMIC_SPECIES
Ag 107.87 Ag.upf
Pt 195.08 Pt.upf
ATOMIC_POSITIONS angstrom
Ag 0.000 0.000 3.492
Ag 0.000 0.000 24.556
Pt 0.000 0.000 10.508
Pt 0.000 0.000 17.540
CELL_PARAMETERS angstrom
1.386 0.800 9.349
-1.386 0.800 9.349
0.000 -1.600 9.349
! Magnetic moment = 0.0 μB per cell
! Formation energy from the elements = -0.01 eV/atom
! Calculated volume = 15.55 Å³ per atom
! Density of states at the Fermi level = 1.61 states/eV/f.u.
! Symmetry = No. 166